Entry 1:
## Hf3InH (PBE)

Data for an optimized crystal structure of Hf3InH.

Unit cell a=5.562 b=8.621 c=7.985 alpha=90.00 beta=90.00 gamma=90.00
Space group Pnma (No. 62)
Unique sites:
Hf1 0.001 0.088 0.147
Hf2 0.242 0.750 0.239
In1 0.000 0.000 0.500
H1 0.012 0.250 0.957

Output
Calculated volume in A^3/atom: 19.1
E in eV/atom: -7.0394
N(E_F) in states/eV per atom: 1.2472

=====

Entry 2:
## Hf3InH (PBE)

Data for an optimized crystal structure of Hf3InH.

Unit cell a=5.792 b=10.446 c=6.173 alpha=90.00 beta=90.00 gamma=90.00
Space group Cmcm (No. 63)
Unique sites:
Hf1 0.000 0.000 0.000
Hf2 0.249 0.265 0.250
In1 0.000 0.482 0.750
H1 0.000 0.124 0.250

Output
Calculated volume in A^3/atom: 18.7
E in eV/atom: -7.2185
N(E_F) in states/eV per atom: 0.9367

=====

Entry 3:
## Hf3InH (PBE)

Data for an optimized crystal structure of Hf3InH.

Unit cell a=10.590 b=4.418 c=8.559 alpha=90.00 beta=115.65 gamma=90.00
Space group C2/m (No. 12)
Unique sites:
Hf1 0.118 0.000 0.195
Hf2 0.127 0.500 0.941
Hf3 0.135 0.000 0.685
In1 0.113 0.500 0.432
H1 0.114 0.000 0.925

Output
Calculated volume in A^3/atom: 18.1
E in eV/atom: -7.3514
N(E_F) in states/eV per atom: 0.7661